Compound: Ho2Pd5
Source: the Alexandria database
Functional: PBE
Structure: optimized geometry

POSCAR file:
```
Ho2Pd5
1.0
3.4812 -6.3386 0.0000
3.4812 6.3386 0.0000
0.0000 0.0000 5.8764
Ho Pd
4 10
direct
0.0921 0.2983 0.0000
0.2983 0.0921 0.5000
0.7017 0.9079 0.5000
0.9079 0.7017 0.0000
0.1030 0.3512 0.5000
0.2672 0.7328 0.2500
0.2672 0.7328 0.7500
0.3512 0.1030 0.0000
0.5000 0.5000 0.2500
0.5000 0.5000 0.7500
0.6488 0.8970 0.0000
0.7328 0.2672 0.2500
0.7328 0.2672 0.7500
0.8970 0.6488 0.5000
```

## Properties
- energy of formation from the pure elements (kJ/mol of formula units) = -569.5
- D(E_F) (states/eV per atom) = 0.27
- raw total energy (eV/atom) = -5.86
- crystal system = orthorhombic